Computed, not measured: a relaxed UPb2Se2N2 crystal at the PBE level of DFT.

## Properties
Energy relative to the elements, uncorrected, eV/atom: -0.659
E, eV per atom: -6.7050
SG: No. 139
Calculated density, g/cm3: 9.10

Lattice parameters (Å, degrees): 4.267 4.267 8.925 103.83 103.83 90.00
Atoms (fractional coordinates):
N 0.000 0.500 0.000
N 0.500 0.000 0.000
U 0.000 0.000 0.000
Pb 0.366 0.366 0.732
Pb 0.634 0.634 0.268
Se 0.828 0.828 0.656
Se 0.172 0.172 0.344